The following is a DFT calculation (PBE-GGA) of crystalline PrPaNi2P2 at its relaxed geometry.

The space group is P-3m1 (No. 164) and the conventional cell measures 3.9298, 3.9298 and 7.9915 Å, with angles of 90.00, 90.00 and 120.00 degrees. The inequivalent atoms are Pr at (0.0000, 0.0000, 0.0000), Pa at (0.0000, 0.0000, 0.5000), Ni at (0.3333, 0.6667, 0.7167) and P at (0.3333, 0.6667, 0.2549).

The calculation puts the formation energy from the elements at -661 kJ/mol of formula units. For the density of states at the Fermi level, the calculation gives 5.4 states/eV/f.u.